1.
VASP calculation (PBE-GGA) on Mo3Pb after structural relaxation.

The structure in POSCAR format:
```
Mo3Pb
1.0
3.3377 0.0000 0.0000
0.0000 3.3377 0.0000
0.0000 0.0000 6.4250
Mo Pb
3 1
Cartesian
1.6688 1.6688 1.6063 Mo
0.0000 0.0000 3.0142 Mo
0.0000 0.0000 0.1983 Mo
1.6688 1.6688 4.8188 Pb
```

Calculated formation energy   0.533 eV per atom
N(E_F)   4.78 states/eV per cell
E_tot   -34.069 eV per formula unit


2.
VASP calculation (PBE-GGA) on FeBiSb2I after structural relaxation.

The structure in POSCAR format:
```
FeBiSb2I
1.0
-0.9136 1.9706 5.4499
-1.8402 -5.3303 1.6189
5.6885 -1.5086 1.4991
Sb Fe I Bi
2 1 1 1
Cartesian
-0.9201 -2.6652 0.8094 Sb
-0.4568 0.9853 2.7249 Sb
1.4673 -2.4341 4.2840 Fe
2.8443 -0.7543 0.7496 I
0.0000 0.0000 0.0000 Bi
```

ΔE_f (raw)   6.5 eV per formula unit
Energy above the most stable polymorph in this dataset   867.1 meV/atom
N(E_F)   10.51 states/eV per cell
E_tot   -15.620 eV per formula unit


Q: Look up the N(E_F) of the first one.
A: 4.78 states/eV per cell


Q: Which of these has the lowest N(E_F)?
A: Mo3Pb


Copy entry 2 word for word.
VASP calculation (PBE-GGA) on FeBiSb2I after structural relaxation.

The structure in POSCAR format:
```
FeBiSb2I
1.0
-0.9136 1.9706 5.4499
-1.8402 -5.3303 1.6189
5.6885 -1.5086 1.4991
Sb Fe I Bi
2 1 1 1
Cartesian
-0.9201 -2.6652 0.8094 Sb
-0.4568 0.9853 2.7249 Sb
1.4673 -2.4341 4.2840 Fe
2.8443 -0.7543 0.7496 I
0.0000 0.0000 0.0000 Bi
```

ΔE_f (raw)   6.5 eV per formula unit
Energy above the most stable polymorph in this dataset   867.1 meV/atom
N(E_F)   10.51 states/eV per cell
E_tot   -15.620 eV per formula unit


Q: Which of these has the lowest E_tot?
A: Mo3Pb